The following is a DFT calculation (GGA+U) of a geometry-optimized K2DyCoF6 structure.

Computed properties:
- Magnetic moment: 2.01 μB/f.u.
- SG: No. 71
- Calculated total energy: -5.234 eV/atom
- Volume: 338.9 Å³/cell

```
K2DyCoF6
1.0
-2.8763 -4.6345 2.9201
4.4082 -3.9519 -1.9300
4.6772 1.6716 7.2600
F K Dy Co
12 4 2 2
Direct
0.2533 0.0024 0.0000 F
0.5000 0.2499 0.2467 F
0.2467 0.9976 0.5000 F
0.7467 0.0024 0.0000 F
0.5000 0.2499 0.7533 F
0.7467 0.4978 0.0000 F
0.0000 0.7501 0.2533 F
0.2467 0.5022 0.5000 F
0.0000 0.7501 0.7467 F
0.7533 0.5022 0.5000 F
0.2533 0.4978 0.0000 F
0.7533 0.9976 0.5000 F
0.5000 0.7502 0.7526 K
0.0000 0.2498 0.2526 K
0.0000 0.2498 0.7474 K
0.5000 0.7502 0.2474 K
0.5000 0.2501 0.0000 Dy
0.0000 0.7499 0.5000 Dy
0.5000 0.2499 0.5000 Co
0.0000 0.7501 0.0000 Co
```